## TaAl2Zn (GGA-PBE)

Data for crystalline TaAl2Zn at its relaxed geometry.

Calculated values
- Calculated density: 7.68 g/cm³
- Energy of formation from the pure elements: -0.10 eV per atom
- E_tot: -5.2489 eV/atom
- Symmetry: No. 10

Unit cell a=2.8626 b=5.0222 c=5.4512 alpha=55.92 beta=90.00 gamma=90.00
Closest atoms and distances in Å follow each position.
Atoms (fractional coordinates):
Zn 0.0000 0.0000 0.5000  6 Al 2.73-2.85, 2 Zn 2.86, 4 Ta 2.89
Ta 0.5000 0.5000 0.5000  6 Al 2.73-2.85, 2 Ta 2.86, 4 Zn 2.89
Al 0.0000 0.0000 0.0000  2 Zn 2.73, 4 Ta 2.85, 6 Al 2.86-2.89
Al 0.5000 0.5000 0.0000  2 Ta 2.73, 4 Zn 2.85, 6 Al 2.86-2.89